(1)
TbGePO | PBE | relaxed

The structure in POSCAR format:
```
TbGePO
1.0
-2.5072 1.0643 2.9801
-3.1568 -0.5766 -2.4499
-0.4876 -8.5268 2.6349
P O Ge Tb
2 2 2 2
Cartesian
-4.3985 -2.2662 1.2110 P
-1.7531 -5.7730 1.9542 P
-2.6696 0.6541 1.6226 O
-2.9944 -0.1664 -1.0924 O
-3.2382 -4.4298 0.2250 Ge
-2.9134 -3.6093 2.9401 Ge
-1.4735 -0.8837 0.4433 Tb
-4.6781 -7.1554 2.7218 Tb
```

Output
Crystal system: tetragonal
Electronic total energy in eV/atom: -6.351
Excess energy over the best structure of this formula in the dataset in meV per atom: 0.0
Symmetry: P4/nmm, No. 129
M_tot in μB/atom: 0.000


(2)
LaDy2O3 | PBE | relaxed

The structure in POSCAR format:
```
LaDy2O3
1.0
3.4622 0.0000 0.0000
-1.7311 2.9984 0.0000
0.0000 0.0000 8.5672
La O Dy
1 3 2
Cartesian
0.0000 0.0000 0.0000 La
1.7311 0.9995 6.8303 O
0.0000 0.0000 4.2836 O
0.0000 1.9989 1.7368 O
1.7311 0.9995 2.8839 Dy
0.0000 1.9989 5.6832 Dy
```

Output
Crystal system: trigonal
Electronic total energy in eV/atom: -7.682
Symmetry: P-3m1, No. 164
M_tot in μB/atom: 0.001


(3)
TaInNiW | PBE | relaxed

The structure in POSCAR format:
```
TaInNiW
1.0
3.4859 -0.6088 2.8667
1.8619 3.5787 2.1133
-0.6075 0.5699 4.4773
In W Ni Ta
1 1 1 1
Cartesian
0.0000 0.0000 0.0000 In
2.3702 1.7700 4.7286 W
3.5553 2.6549 7.0929 Ni
1.1851 0.8850 2.3643 Ta
```

Output
Crystal system: cubic
Electronic total energy in eV/atom: -7.831
Symmetry: F-43m, No. 216
M_tot in μB/atom: 0.000


(4)
MgNi7 | PBE | relaxed

The structure in POSCAR format:
```
MgNi7
1.0
2.5117 -7.0938 0.0000
2.5117 7.0938 0.0000
0.0000 0.0000 5.0087
Ni Mg
14 2
Cartesian
1.3070 0.0000 2.5044 Ni
2.5117 5.3497 1.2522 Ni
2.5117 1.8079 1.2522 Ni
1.2558 3.5469 2.5044 Ni
3.7163 0.0000 0.0000 Ni
1.3070 0.0000 0.0000 Ni
2.5117 -1.7959 1.2522 Ni
2.5117 -5.3497 3.7566 Ni
1.2558 -3.5469 0.0000 Ni
2.5117 1.7959 3.7566 Ni
2.5117 -1.8079 3.7566 Ni
1.2558 3.5469 0.0000 Ni
1.2558 -3.5469 2.5044 Ni
3.7163 0.0000 2.5044 Ni
2.5117 5.3377 3.7566 Mg
2.5117 -5.3377 1.2522 Mg
```

Output
Crystal system: orthorhombic
Electronic total energy in eV/atom: -5.102
Symmetry: Cmcm, No. 63
M_tot in μB/atom: 0.395


(5)
CdPd | PBE | relaxed

The structure in POSCAR format:
```
CdPd
1.0
2.3494 -1.8116 0.7638
-1.5080 -0.8967 2.5114
-1.5151 -2.7646 -1.8968
Cd Pd
1 1
Cartesian
0.0000 0.0000 0.0000 Cd
-0.3368 -2.7365 0.6892 Pd
```

Output
Crystal system: tetragonal
Electronic total energy in eV/atom: -3.458
Symmetry: P4/mmm, No. 123
Formation enthalpy at 0 K in kJ/mol of atoms: -41


(6)
LuCuHgTe3 | PBE | relaxed

The structure in POSCAR format:
```
LuCuHgTe3
1.0
0.9034 3.7819 6.6841
-3.4185 -5.6087 -4.0807
8.0640 -7.0062 2.8742
Te Lu Hg Cu
6 2 2 2
Cartesian
4.8877 -1.5089 6.8207 Te
0.3784 -3.4907 1.0736 Te
0.6612 -7.3241 -1.3431 Te
7.8124 -4.0499 7.8631 Te
5.1705 -5.3423 4.4039 Te
-2.2635 -4.7831 -2.3855 Te
2.7745 -4.4165 2.7388 Lu
-1.2575 -0.9134 1.3017 Lu
1.8246 -0.3484 4.6757 Hg
3.7243 -8.4845 0.8018 Hg
-1.2839 -7.1026 -3.0668 Cu
6.8328 -1.7304 8.5443 Cu
```

Output
Crystal system: orthorhombic
Electronic total energy in eV/atom: -3.502
Symmetry: Cmcm, No. 63
M_tot in μB/atom: 0.001


(7)
DyScAl4Au2 | PBE | relaxed

The structure in POSCAR format:
```
DyScAl4Au2
1.0
5.4530 0.0000 0.0000
0.0000 2.5343 8.0621
0.0000 -2.5343 8.0621
Al Au Dy Sc
4 2 1 1
Cartesian
1.4079 0.0000 1.3472 Al
1.4710 0.0000 14.8220 Al
3.9821 0.0000 14.8220 Al
4.0452 0.0000 1.3472 Al
0.0000 0.0000 9.5941 Au
0.0000 0.0000 3.5151 Au
0.0000 0.0000 6.6309 Dy
0.0000 0.0000 12.4183 Sc
```

Output
Crystal system: orthorhombic
Electronic total energy in eV/atom: -3.891
Symmetry: Amm2, No. 38
M_tot in μB/atom: 0.000


(8)
TbAgPbS3 | PBE | relaxed

The structure in POSCAR format:
```
TbAgPbS3
1.0
-2.1050 -6.2573 -4.7989
-0.9550 -2.2722 3.3817
-15.1250 5.5195 -0.5626
S Tb Pb Ag
12 4 4 4
Cartesian
-11.6215 1.3365 -1.0894 S
-13.9439 -1.3288 -3.5361 S
-6.5634 -4.3465 -0.8904 S
-4.2411 -1.6812 1.5563 S
-8.4989 -4.3262 -4.0124 S
-9.6861 1.3162 2.0326 S
-9.8987 -1.3599 -2.4146 S
-2.5470 -2.9854 -1.4307 S
-8.2863 -1.6501 0.4348 S
-15.6380 -0.0246 -0.5490 S
-3.3842 -6.9517 -1.7431 S
-14.8008 3.9417 -0.2367 S
-1.7786 -2.9914 1.3714 Tb
-8.9125 0.7594 -0.7121 Tb
-9.2725 -3.7694 -1.2677 Tb
-16.4063 -0.0186 -3.3511 Tb
-13.0157 -1.3462 -0.6966 Pb
-5.6580 -4.9982 -3.6617 Pb
-5.1693 -1.6638 -1.2832 Pb
-12.5270 1.9882 1.6819 Pb
-14.1280 1.8537 -1.4497 Ag
-11.6756 -2.5540 -3.7187 Ag
-4.0570 -4.8637 -0.5301 Ag
-6.5094 -0.4560 1.7390 Ag
```

Output
Crystal system: orthorhombic
Electronic total energy in eV/atom: -4.932
Excess energy over the best structure of this formula in the dataset in meV per atom: 36.9
Symmetry: Pnma, No. 62
M_tot in μB/atom: 0.000


(9)
NaHfAuSe3 | PBE | relaxed

The structure in POSCAR format:
```
NaHfAuSe3
1.0
-0.6898 -4.7956 6.0568
-1.2526 -2.7920 -2.3533
9.0397 -1.1067 -3.4987
Se Hf Au Na
6 2 2 2
Cartesian
7.5031 -1.9935 -3.2119 Se
-0.4059 -6.7008 3.4167 Se
7.1640 -4.4656 -0.0983 Se
3.5255 -6.5360 1.1285 Se
3.5718 -2.1583 -0.9237 Se
-0.0667 -4.2287 0.3031 Se
6.0057 -6.8991 0.2392 Hf
1.0916 -1.7951 -0.0344 Hf
4.7998 -4.1324 0.7648 Au
2.2975 -4.5619 -0.5600 Au
1.8492 -4.6314 2.9274 Na
5.2480 -4.0628 -2.7226 Na
```

Output
Crystal system: monoclinic
Electronic total energy in eV/atom: -5.128
Excess energy over the best structure of this formula in the dataset in meV per atom: 0.7
Symmetry: P2_1/m, No. 11
M_tot in μB/atom: 0.000


(10)
Hf3AsAu | PBE | relaxed

The structure in POSCAR format:
```
Hf3AsAu
1.0
-4.9292 3.1560 -1.6613
2.2196 -5.5547 1.1118
-2.6403 0.8278 9.4067
Hf Au As
6 2 2
Cartesian
-6.4734 3.2456 5.5629 Hf
-3.9369 0.5850 4.6689 Hf
1.1235 -4.8164 3.2944 Hf
-1.4130 -2.1559 4.1884 Hf
-4.8876 0.8831 8.0561 Hf
-0.4623 -2.4540 0.8012 Hf
-1.5809 -2.7159 7.4608 Au
-3.7690 1.1450 1.3965 Au
0.0000 0.0000 0.0000 As
-1.3202 0.4139 4.7034 As
```

Output
Crystal system: orthorhombic
Electronic total energy in eV/atom: -8.065
Symmetry: Cmcm, No. 63
M_tot in μB/atom: 0.001


(11)
FeBWAu | PBE | relaxed

The structure in POSCAR format:
```
FeBWAu
1.0
0.0000 2.9470 2.9470
2.9470 0.0000 2.9470
2.9470 2.9470 0.0000
B Fe Au W
1 1 1 1
Cartesian
0.0000 0.0000 0.0000 B
2.9470 2.9470 2.9470 Fe
4.4206 4.4206 4.4206 Au
1.4735 1.4735 1.4735 W
```

Output
Crystal system: cubic
Electronic total energy in eV/atom: -7.083
Excess energy over the best structure of this formula in the dataset in meV per atom: 0.0
Symmetry: F-43m, No. 216
M_tot in μB/atom: 0.331


(12)
ZrZn2FeIr4 | PBE | relaxed

The structure in POSCAR format:
```
ZrZn2FeIr4
1.0
4.3583 0.0000 0.0000
0.0000 4.3583 0.0000
0.0000 0.0000 6.2597
Zn Zr Fe Ir
2 1 1 4
Cartesian
2.1791 2.1791 0.0000 Zn
0.0000 0.0000 3.1298 Zn
2.1791 2.1791 3.1298 Zr
0.0000 0.0000 0.0000 Fe
0.0000 2.1791 4.7990 Ir
2.1791 0.0000 1.4607 Ir
0.0000 2.1791 1.4607 Ir
2.1791 0.0000 4.7990 Ir
```

Output
Crystal system: tetragonal
Electronic total energy in eV/atom: -7.230
Symmetry: P4/mmm, No. 123
M_tot in μB/atom: 0.518
Formation enthalpy at 0 K in kJ/mol of atoms: -37


(13)
KSrTm | PBE | relaxed

The structure in POSCAR format:
```
KSrTm
1.0
-0.7351 -6.2268 -1.0866
-5.0881 -2.0929 -3.1977
0.6720 -2.3024 -5.8942
Sr K Tm
1 1 1
Cartesian
-3.8634 -7.9665 -7.6339 Sr
-1.2878 -2.6555 -2.5446 K
0.0000 0.0000 0.0000 Tm
```

Output
Crystal system: cubic
Electronic total energy in eV/atom: -1.509
Excess energy over the best structure of this formula in the dataset in meV per atom: 0.0
Symmetry: F-43m, No. 216
M_tot in μB/atom: 0.008


(14)
YCuAsAu | PBE | relaxed

The structure in POSCAR format:
```
YCuAsAu
1.0
2.1026 -4.2337 0.7978
1.6617 -1.0657 4.3686
-2.2155 -3.3122 2.6651
As Au Y Cu
1 1 1 1
Cartesian
0.0000 0.0000 0.0000 As
0.3872 -2.1529 1.9579 Au
0.7744 -4.3058 3.9157 Y
1.1616 -6.4587 5.8736 Cu
```

Output
Crystal system: cubic
Electronic total energy in eV/atom: -4.883
Excess energy over the best structure of this formula in the dataset in meV per atom: 132.5
Symmetry: F-43m, No. 216
M_tot in μB/atom: 0.000


(15)
SrCdSO | PBE | relaxed

The structure in POSCAR format:
```
SrCdSO
1.0
-1.3132 3.6792 0.0746
-1.4483 -0.5895 3.5807
9.1929 3.1952 4.2443
Sr Cd O S
2 2 2 2
Cartesian
5.0488 2.7672 3.5636 Sr
1.3825 3.5177 4.3360 Sr
-1.4145 0.4776 2.7042 Cd
-1.3470 2.6120 0.9511 Cd
3.4009 4.2192 5.2679 O
3.0305 2.0657 2.6317 O
5.4852 4.9436 6.2302 S
0.9462 1.3412 1.6694 S
```

Output
Crystal system: tetragonal
Electronic total energy in eV/atom: -4.172
Symmetry: P4/nmm, No. 129


(16)
LaTbAl6 | PBE | relaxed

The structure in POSCAR format:
```
LaTbAl6
1.0
-5.8855 0.2443 2.7916
3.9094 -5.1036 1.0781
1.8064 2.1484 3.6204
Tb Al La
1 6 1
Cartesian
1.5476 -2.2468 3.4594 Tb
-2.8993 -0.1019 1.5070 Al
-1.4461 -1.8620 4.7248 Al
-3.7541 -2.2037 3.1808 Al
-1.2083 -2.3094 1.9733 Al
-0.6143 0.1834 3.0959 Al
-3.0917 0.2863 4.2710 Al
0.0000 0.0000 0.0000 La
```

Output
Crystal system: hexagonal
Electronic total energy in eV/atom: -4.436
Symmetry: P-6m2, No. 187
M_tot in μB/atom: 0.000


(17)
Dy2HoFe6Co2Ni | PBE | relaxed

The structure in POSCAR format:
```
Dy2HoFe6Co2Ni
1.0
2.4946 1.4402 8.1997
-2.4946 1.4402 8.1997
0.0000 -2.8805 8.1997
Dy Ho Fe Co Ni
2 1 6 2 1
Cartesian
0.0000 0.0000 3.4904 Dy
0.0000 0.0000 21.1089 Dy
0.0000 0.0000 0.0000 Ho
1.2528 0.7233 14.4083 Fe
0.0000 -1.4466 14.4083 Fe
-1.2528 -0.7233 10.1909 Fe
1.2528 -0.7233 10.1909 Fe
-1.2528 0.7233 14.4083 Fe
0.0000 1.4466 10.1909 Fe
0.0000 0.0000 8.1878 Co
0.0000 0.0000 16.4114 Co
0.0000 0.0000 12.2996 Ni
```

Output
Crystal system: trigonal
Electronic total energy in eV/atom: -7.070
Symmetry: R-3m, No. 166
M_tot in μB/atom: 1.293
Formation enthalpy at 0 K in kJ/mol of atoms: -11


(18)
Co2AgPd | PBE | relaxed

The structure in POSCAR format:
```
Co2AgPd
1.0
-1.8254 -3.6450 -1.3648
-0.8381 -3.1605 2.7911
-4.0650 -0.9003 1.0706
Co Pd Ag
2 1 1
Cartesian
-1.6821 -1.9265 0.6242 Co
0.0000 0.0000 0.0000 Co
-5.0463 -5.7794 1.8726 Pd
-3.3642 -3.8529 1.2484 Ag
```

Output
Crystal system: cubic
Electronic total energy in eV/atom: -5.221
Symmetry: F-43m, No. 216
M_tot in μB/atom: 0.979
Formation enthalpy at 0 K in kJ/mol of atoms: 32


(19)
UTcBi | PBE | relaxed

The structure in POSCAR format:
```
UTcBi
1.0
0.0000 3.4143 3.4143
3.4143 0.0000 3.4143
3.4143 3.4143 0.0000
U Bi Tc
1 1 1
Cartesian
0.0000 0.0000 0.0000 U
1.7072 1.7072 1.7072 Bi
5.1215 5.1215 5.1215 Tc
```

Output
Crystal system: cubic
Electronic total energy in eV/atom: -7.483
Symmetry: F-43m, No. 216
M_tot in μB/atom: 0.328


(20)
NbCd2B | PBE | relaxed

The structure in POSCAR format:
```
NbCd2B
1.0
0.0000 3.2265 3.2265
3.2265 0.0000 3.2265
3.2265 3.2265 0.0000
Cd B Nb
2 1 1
Cartesian
0.0000 0.0000 0.0000 Cd
4.8397 4.8397 4.8397 Cd
3.2265 3.2265 3.2265 B
1.6132 1.6132 1.6132 Nb
```

Output
Crystal system: cubic
Electronic total energy in eV/atom: -3.670
Symmetry: F-43m, No. 216
M_tot in μB/atom: 0.386